## KHgP3 (GGA-PBE)

Data for an optimized crystal structure of KHgP3.

Lattice parameters (Å, degrees): 5.1530 5.1530 5.1530 90.00 90.00 90.00
Element x y z (fractional)
K 0.0000 0.0000 0.0000
Hg 0.5000 0.5000 0.5000
P 0.0000 0.5000 0.5000
P 0.5000 0.0000 0.5000
P 0.5000 0.5000 0.0000

**E_form**: 4.36 eV/f.u.
**Mass density**: 4.04 Mg/m³
**Polymorph energy (0 for the lowest one)**: 0.000 eV/atom
**Space-group type**: Pm-3m (221)
**DOS at the Fermi energy**: 4.745 states/eV/cell